1.
A plane-wave DFT calculation with GGA-PBE was carried out for a relaxed structure of ErNb.

Unit cell a=5.8441 b=5.8441 c=5.8441 alpha=90.00 beta=90.00 gamma=90.00
Last column: nearest neighbours and their distance in Å.
Space group Fm-3m (No. 225)
One atom of each set of equivalent atoms:
Er  0.0000  0.0000  0.0000 [4 per cell]  6 Nb 2.92
Nb  0.0000  0.0000  0.5000 [4 per cell]  6 Er 2.92

Summary:
Total moment ... 1.788 μB/cell
E ... -6.06 eV/atom
Formation enthalpy at 0 K ... 244.6 kJ/mol of formula units

2.
A plane-wave DFT calculation with GGA-PBE was carried out for a relaxed structure of Tm5Ir2.

Unit cell a=15.4329 b=6.4154 c=7.1341 alpha=90.00 beta=97.14 gamma=90.00
Last column: nearest neighbours and their distance in Å.
Space group C2/c (No. 15)
One atom of each set of equivalent atoms:
Tm  0.0000  0.0706  0.2500 [4 per cell]  4 Ir 2.84-2.89
Tm  0.0917  0.3809  0.9195 [8 per cell]  2 Ir 2.73-2.81
Tm  0.2204  0.0682  0.3164 [8 per cell]  3 Ir 2.82-2.98
Ir  0.1096  0.2168  0.5733 [8 per cell]  7 Tm 2.73-2.98

Summary:
Total moment ... 0.015 μB/cell
E ... -6.44 eV/atom
Formation enthalpy at 0 K ... -481.6 kJ/mol of formula units